# ZrSbRu3 PBE optimized geometry
# Formation energy from raw total energies (eV/atom): 1.02
# Distance to the lowest polymorph of the same formula (meV/atom): 0
data_ZrSbRu3
_chemical_formula_sum 'Zr1 Sb1 Ru3'
_cell_length_a 4.726
_cell_length_b 4.726
_cell_length_c 4.726
_cell_angle_alpha 90.00
_cell_angle_beta 90.00
_cell_angle_gamma 90.00
_symmetry_space_group_name_H-M 'P m -3 m'
_symmetry_Int_Tables_number 221
_symmetry_space_group_name_Hall '-P 4 2 3'
loop_
_atom_site_label
_atom_site_fract_x
_atom_site_fract_y
_atom_site_fract_z
_atom_site_occupancy
Zr1 0.000 0.000 0.000 1
Sb1 0.500 0.500 0.500 1
Ru1 0.000 0.500 0.500 1